A plane-wave DFT calculation with GGA+U was carried out for crystalline Sr4Cd3CoO8 at its relaxed geometry.

Results
Theoretical density = 6.076 g cm⁻³
Volume = 14.941 Å³ per atom
Total DFT energy (no corrections) = -5.21 eV/atom

abc: 11.7373 7.1103 6.9009
angles: 90.00 123.89 90.00
Space group C2/m (No. 12)
Asymmetric unit:
Sr (0.0000, 0.0000, 0.0000)
Sr (0.0000, 0.5000, 0.0000)
Sr (0.2500, 0.2500, 0.5000)
Cd (0.0000, 0.0000, 0.5000)
Cd (0.2500, 0.2500, 0.0000)
Co (0.0000, 0.5000, 0.5000)
O (0.0052, 0.2562, 0.7429)
O (0.2316, 0.5000, 0.7378)
O (0.2436, 0.0000, 0.7519)